# 1
VASP calculation (PBE) on crystalline SmMgZrGa at its relaxed geometry.

## Properties
- space group = F-43m

a b c (Å): 5.044 5.044 5.044
angles (deg): 60.00 60.00 60.00
Element x y z (fractional)
1 Ga 0.250 0.250 0.250
2 Zr 0.500 0.500 0.500
3 Sm 0.000 0.000 0.000
4 Mg 0.750 0.750 0.750

# 2
VASP calculation (PBE) on crystalline Mg3Ga12Sn at its relaxed geometry.

## Properties
- space group = P4/mmm

a b c (Å): 4.338 4.338 16.407
angles (deg): 90.00 90.00 90.00
Element x y z (fractional)
1 Sn 0.000 0.000 0.000
2 Ga 0.000 0.500 0.378
3 Ga 0.000 0.500 0.622
4 Ga 0.000 0.500 0.134
5 Ga 0.500 0.000 0.866
6 Ga 0.500 0.500 0.500
7 Ga 0.500 0.000 0.134
8 Ga 0.500 0.000 0.622
9 Ga 0.000 0.500 0.866
10 Ga 0.500 0.500 0.743
11 Ga 0.500 0.500 0.000
12 Ga 0.500 0.500 0.257
13 Ga 0.500 0.000 0.378
14 Mg 0.000 0.000 0.500
15 Mg 0.000 0.000 0.257
16 Mg 0.000 0.000 0.743

# 3
VASP calculation (PBE) on crystalline MgGa14Sn at its relaxed geometry.

## Properties
- space group = Amm2

a b c (Å): 6.171 6.171 8.248
angles (deg): 90.00 90.00 96.77
Element x y z (fractional)
1 Ga 0.615 0.884 0.500
2 Ga 0.380 0.620 0.248
3 Ga 0.116 0.385 0.500
4 Ga 0.873 0.624 0.760
5 Ga 0.659 0.877 0.000
6 Ga 0.123 0.341 0.000
7 Ga 0.860 0.140 0.751
8 Ga 0.376 0.127 0.760
9 Ga 0.873 0.624 0.240
10 Ga 0.860 0.140 0.249
11 Ga 0.376 0.127 0.240
12 Ga 0.162 0.838 0.000
13 Ga 0.380 0.620 0.752
14 Ga 0.618 0.382 0.000
15 Sn 0.113 0.887 0.500
16 Mg 0.617 0.383 0.500

# 4
VASP calculation (PBE) on crystalline Mg6Ga12Sn at its relaxed geometry.

## Properties
- space group = R-3

a b c (Å): 7.570 7.570 7.570
angles (deg): 103.79 103.79 103.79
Element x y z (fractional)
1 Ga 0.564 0.780 0.505
2 Ga 0.780 0.505 0.564
3 Ga 0.220 0.495 0.436
4 Ga 0.858 0.573 0.958
5 Ga 0.142 0.427 0.042
6 Ga 0.495 0.436 0.220
7 Ga 0.427 0.042 0.142
8 Ga 0.042 0.142 0.427
9 Ga 0.573 0.958 0.858
10 Ga 0.436 0.220 0.495
11 Ga 0.958 0.858 0.573
12 Ga 0.505 0.564 0.780
13 Mg 0.187 0.691 0.814
14 Mg 0.691 0.814 0.187
15 Mg 0.186 0.813 0.309
16 Mg 0.813 0.309 0.186
17 Mg 0.814 0.187 0.691
18 Mg 0.309 0.186 0.813
19 Sn 0.000 0.000 0.000

# 5
VASP calculation (PBE) on crystalline Mg8Ga2Sn at its relaxed geometry.

## Properties
- space group = C2/m

a b c (Å): 4.547 7.082 8.439
angles (deg): 112.61 105.63 90.00
Element x y z (fractional)
1 Mg 0.815 0.724 0.631
2 Mg 0.185 0.276 0.369
3 Mg 0.031 0.755 0.062
4 Mg 0.325 0.065 0.651
5 Mg 0.969 0.245 0.938
6 Mg 0.597 0.468 0.193
7 Mg 0.403 0.532 0.807
8 Mg 0.675 0.935 0.349
9 Sn 0.500 0.000 0.000
10 Ga 0.813 0.323 0.625
11 Ga 0.187 0.677 0.375

# 6
VASP calculation (PBE) on crystalline Mg2Ga4Sn at its relaxed geometry.

## Properties
- space group = I4/mmm

a b c (Å): 5.434 5.434 6.606
angles (deg): 114.29 114.29 90.00
Element x y z (fractional)
1 Mg 0.648 0.648 0.296
2 Mg 0.352 0.352 0.704
3 Ga 0.500 0.000 0.000
4 Ga 0.250 0.750 0.500
5 Ga 0.000 0.500 0.000
6 Ga 0.750 0.250 0.500
7 Sn 0.000 0.000 0.000

# 7
VASP calculation (PBE) on crystalline Mg6Ga3Sn at its relaxed geometry.

## Properties
- space group = P2_1/c

a b c (Å): 8.103 6.372 8.411
angles (deg): 90.00 90.33 90.00
Element x y z (fractional)
1 Mg 0.828 0.302 0.253
2 Mg 0.178 0.392 0.067
3 Mg 0.328 0.198 0.753
4 Mg 0.672 0.802 0.247
5 Mg 0.678 0.108 0.567
6 Mg 0.664 0.129 0.936
7 Mg 0.172 0.698 0.747
8 Mg 0.322 0.892 0.433
9 Mg 0.164 0.371 0.436
10 Mg 0.822 0.608 0.933
11 Mg 0.836 0.629 0.564
12 Mg 0.336 0.871 0.064
13 Ga 0.017 0.693 0.259
14 Ga 0.983 0.307 0.741
15 Ga 0.500 0.500 0.000
16 Ga 0.517 0.807 0.759
17 Ga 0.483 0.193 0.241
18 Ga 0.000 0.000 0.500
19 Sn 0.000 0.000 0.000
20 Sn 0.500 0.500 0.500

# 8
VASP calculation (PBE) on crystalline Mg4GaSn4 at its relaxed geometry.

## Properties
- space group = I4/m

a b c (Å): 4.214 7.433 7.433
angles (deg): 85.39 73.53 73.53
Element x y z (fractional)
1 Mg 0.853 0.478 0.317
2 Mg 0.147 0.522 0.683
3 Mg 0.170 0.183 0.978
4 Mg 0.830 0.817 0.022
5 Sn 0.180 0.794 0.347
6 Sn 0.527 0.153 0.294
7 Sn 0.820 0.206 0.653
8 Sn 0.473 0.847 0.706
9 Ga 0.500 0.500 0.000

| no. | total moment (μB per formula unit) | E (eV/atom) | energy of formation from the pure elements (eV/atom) |
| --- | --- | --- | --- |
| 1 | 0.00 | -4.687 | -0.2152 |
| 2 | 0.00 | -2.869 | -0.0497 |
| 3 | 0.00 | -2.991 | 0.0073 |
| 4 | 0.00 | -2.672 | -0.0459 |
| 5 | 0.00 | -2.174 | -0.0998 |
| 6 | 0.00 | -2.680 | 0.0775 |
| 7 | 0.00 | -2.341 | -0.0756 |
| 8 | 0.00 | -2.886 | -0.0620 |